1.
First-principles (PBE-GGA) data for an optimized crystal structure of CsInH, as listed in Alexandria via LeMat-Bulk.

Cell lengths 5.563, 4.024, 7.911 Å; angles 90.00, 90.00, 90.00 degrees
Positions (direct):
Cs 0.250 0.000 0.175
Cs 0.750 0.000 0.825
In 0.250 0.500 0.569
In 0.750 0.500 0.431
H 0.250 0.500 0.812
H 0.750 0.500 0.188

Calculated values
* total magnetization: 0.0 Bohr magnetons per cell
* E: -2.335 eV/atom
* space group: Pmma (51)
* density of states at the Fermi level: 1.25 states/eV/f.u.

***

2.
First-principles (PBE-GGA) data for an optimized crystal structure of Cs2InH5, as listed in Alexandria via LeMat-Bulk.

Cell lengths 6.264, 6.264, 6.264 Å; angles 116.05, 116.05, 96.99 degrees
Positions (direct):
Cs 0.000 0.500 0.500
Cs 0.500 0.000 0.500
In 0.277 0.277 0.000
H 0.027 0.027 0.601
H 0.027 0.426 0.000
H 0.426 0.027 0.000
H 0.426 0.426 0.399
H 0.494 0.494 0.000

Calculated values
* total magnetization: 0.0 Bohr magnetons per cell
* E: -2.736 eV/atom
* space group: I4mm (107)
* density of states at the Fermi level: 0.00 states/eV/f.u.

***

3.
First-principles (PBE-GGA) data for an optimized crystal structure of Cs4InH5, as listed in Alexandria via LeMat-Bulk.

Cell lengths 7.321, 7.321, 7.321 Å; angles 100.50, 100.50, 129.45 degrees
Positions (direct):
Cs 0.102 0.288 0.390
Cs 0.288 0.898 0.187
Cs 0.712 0.102 0.813
Cs 0.898 0.712 0.610
In 0.460 0.460 0.000
H 0.234 0.587 0.813
H 0.421 0.234 0.647
H 0.587 0.774 0.353
H 0.769 0.769 0.000
H 0.774 0.421 0.187

Calculated values
* total magnetization: 0.0 Bohr magnetons per cell
* E: -2.362 eV/atom
* space group: I4 (79)
* density of states at the Fermi level: 0.00 states/eV/f.u.